Density functional theory data (PBE-GGA) for an optimized crystal structure of LiSmZnCu.

Formation energy from the elements   -129 meV/atom
DOS(E_F)   5.5 states/eV/f.u.
M_tot   0.0 μB per formula unit

Lattice parameters (Å, degrees): 4.679 4.679 4.679 60.00 60.00 60.00
Fractional positions:
Li (0.000, 0.000, 0.000)
Sm (0.250, 0.250, 0.250)
Zn (0.750, 0.750, 0.750)
Cu (0.500, 0.500, 0.500)